1.
In2Sn2F: relaxed, PBE.

Lattice parameters (Å, degrees): 6.5890 6.5890 5.6967 90.00 90.00 90.00
Space group P4/mbm (No. 127)
Inequivalent atoms, fractional coordinates:
In: 0.1633 0.3367 0.0000 x4
Sn: 0.2234 0.7234 0.5000 x4
F: 0.0000 0.0000 0.0000 x2

Output
* DOS(E_F): 0.340 states/eV per atom
* uncorrected formation energy: -0.540 eV/atom
* total moment: 0.00 μB per cell

=====

2.
InSnF6: relaxed, PBE.

Lattice parameters (Å, degrees): 5.2236 5.2236 15.4843 90.00 90.00 120.00
Space group R-3m (No. 166, hexagonal axes)
Inequivalent atoms, fractional coordinates:
In: 0.0000 0.0000 0.0000 x3
Sn: 0.0000 0.0000 0.5000 x3
F: 0.0081 0.5040 0.9146 x18

Output
* DOS(E_F): 0.355 states/eV per atom
* uncorrected formation energy: -2.026 eV/atom
* total moment: 0.00 μB per cell

=====

3.
InSn2F8: relaxed, PBE.

Lattice parameters (Å, degrees): 10.0238 7.4350 5.1935 90.00 110.87 90.00
Space group C2/m (No. 12)
Inequivalent atoms, fractional coordinates:
In: 0.0000 0.0000 0.0000 x2
Sn: 0.1647 0.5000 0.2999 x4
F: 0.0811 0.5000 0.8575 x4
F: 0.1318 0.0000 0.7618 x4
F: 0.1388 0.1965 0.2555 x8

Output
* DOS(E_F): 0.368 states/eV per atom
* uncorrected formation energy: -2.323 eV/atom
* total moment: 0.00 μB per cell

=====

4.
InSnF2: relaxed, PBE.

Lattice parameters (Å, degrees): 6.6438 6.6438 6.6438 90.00 90.00 90.00
Space group Fm-3m (No. 225)
Inequivalent atoms, fractional coordinates:
In: 0.0000 0.0000 0.0000 x4
Sn: 0.0000 0.0000 0.5000 x4
F: 0.2500 0.2500 0.2500 x8

Output
* DOS(E_F): 0.416 states/eV per atom
* uncorrected formation energy: -1.256 eV/atom
* total moment: 0.00 μB per cell
* excess energy over the best structure of this formula in the dataset: 0.2943 eV/atom

=====

5.
In3SnF: relaxed, PBE.

Lattice parameters (Å, degrees): 5.9103 5.9103 5.9103 90.00 90.00 90.00
Space group Pm-3m (No. 221)
Inequivalent atoms, fractional coordinates:
In: 0.0000 0.0000 0.5000 x3
Sn: 0.0000 0.0000 0.0000 x1
F: 0.5000 0.5000 0.5000 x1

Output
* DOS(E_F): 1.776 states/eV per atom
* uncorrected formation energy: 0.053 eV/atom
* total moment: 0.00 μB per cell
* excess energy over the best structure of this formula in the dataset: 0.5395 eV/atom

=====

6.
In2SnF6: relaxed, PBE.

Lattice parameters (Å, degrees): 10.5577 7.1445 3.6733 90.00 90.06 90.00
Space group C2/m (No. 12)
Inequivalent atoms, fractional coordinates:
In: 0.1302 0.0000 0.4980 x4
Sn: 0.0000 0.5000 0.0000 x2
F: 0.1316 0.1951 0.9987 x8
F: 0.1673 0.5000 0.5003 x4

Output
* uncorrected formation energy: -2.132 eV/atom
* total moment: 0.00 μB per cell

=====

7.
In3Sn5F12: relaxed, PBE.

Lattice parameters (Å, degrees): 15.1521 15.1521 15.1521 90.00 90.00 90.00
Space group Ia-3d (No. 230)
Inequivalent atoms, fractional coordinates:
In: 0.0000 0.2500 0.1250 x24
Sn: 0.0000 0.0000 0.0000 x16
Sn: 0.0000 0.2500 0.3750 x24
F: 0.0429 0.0653 0.6390 x96

Output
* DOS(E_F): 0.200 states/eV per atom
* uncorrected formation energy: -1.848 eV/atom
* total moment: 0.00 μB per cell

=====

8.
InSn2F4: relaxed, PBE.

Lattice parameters (Å, degrees): 6.2409 7.3354 8.0730 116.18 95.13 109.53
Space group P1 (No. 1)
Inequivalent atoms, fractional coordinates:
In: 0.0000 0.0000 0.0000 x1
In: 0.2823 0.6467 0.7673 x1
Sn: 0.1448 0.8727 0.3667 x1
Sn: 0.6032 0.7777 0.3087 x1
Sn: 0.6528 0.3977 0.4148 x1
Sn: 0.6539 0.2852 0.8387 x1
F: 0.2718 0.9764 0.6704 x1
F: 0.4632 0.3546 0.6554 x1
F: 0.4678 0.4530 0.0274 x1
F: 0.6427 0.9079 0.1125 x1
F: 0.7793 0.7202 0.6694 x1
F: 0.8484 0.2971 0.5648 x1
F: 0.9411 0.6267 0.9826 x1
F: 0.9972 0.5349 0.3489 x1

Output
* DOS(E_F): 0.075 states/eV per atom
* uncorrected formation energy: -1.839 eV/atom
* total moment: 0.00 μB per cell

=====

9.
InSn3F6: relaxed, PBE.

Lattice parameters (Å, degrees): 10.6953 3.6519 11.3012 90.00 110.71 90.00
Space group P2_1/m (No. 11)
Inequivalent atoms, fractional coordinates:
In: 0.0677 0.2500 0.1601 x2
Sn: 0.1555 0.2500 0.6125 x2
Sn: 0.3700 0.7500 0.9563 x2
Sn: 0.4380 0.2500 0.3191 x2
F: 0.0644 0.7500 0.4531 x2
F: 0.0764 0.2500 0.9475 x2
F: 0.1254 0.7500 0.7280 x2
F: 0.3679 0.7500 0.1541 x2
F: 0.4021 0.7500 0.7530 x2
F: 0.4443 0.2500 0.5721 x2

Output
* DOS(E_F): 0.101 states/eV per atom
* uncorrected formation energy: -1.945 eV/atom
* total moment: 0.00 μB per cell

=====

10.
InSnF2: relaxed, PBE.

Lattice parameters (Å, degrees): 5.8444 5.8444 12.3144 90.00 90.00 90.00
Space group I-42d (No. 122)
Inequivalent atoms, fractional coordinates:
In: 0.0000 0.0000 0.0000 x4
Sn: 0.0000 0.0000 0.5000 x4
F: 0.1694 0.2500 0.6250 x8

Output
* DOS(E_F): 0.958 states/eV per atom
* uncorrected formation energy: -1.268 eV/atom
* total moment: 0.00 μB per cell
* excess energy over the best structure of this formula in the dataset: 0.2828 eV/atom

=====

11.
InSnF2: relaxed, PBE.

Lattice parameters (Å, degrees): 3.3791 3.3791 24.5995 90.00 90.00 120.00
Space group R-3m (No. 166, hexagonal axes)
Inequivalent atoms, fractional coordinates:
In: 0.0000 0.0000 0.0000 x3
Sn: 0.0000 0.0000 0.5000 x3
F: 0.0000 0.0000 0.4081 x6

Output
* DOS(E_F): 0.219 states/eV per atom
* uncorrected formation energy: -1.551 eV/atom
* total moment: 0.00 μB per cell
* excess energy over the best structure of this formula in the dataset: 0.0000 eV/atom

=====

12.
In5Sn3F12: relaxed, PBE.

Lattice parameters (Å, degrees): 14.6300 14.6300 14.6300 90.00 90.00 90.00
Space group Ia-3d (No. 230)
Inequivalent atoms, fractional coordinates:
In: 0.0000 0.0000 0.0000 x16
In: 0.0000 0.2500 0.3750 x24
Sn: 0.0000 0.2500 0.1250 x24
F: 0.0203 0.0832 0.6486 x96

Output
* DOS(E_F): 0.323 states/eV per atom
* uncorrected formation energy: -1.824 eV/atom
* total moment: 0.00 μB per cell